# 1
VASP calculation (GGA-PBE) on PaVOs after structural relaxation.

Values from the calculation:
Electronic total energy = -9.478 eV/atom
Formation energy from the elements = 0.470 eV/atom
Energy above the lowest structure with this stoichiometry = 0.7799 eV/atom

Lattice parameters (Å, degrees): 3.9782 3.9782 7.1182 90.00 90.00 90.00
Last column: nearest neighbours and their distance in Å.
Sites, in units of the cell vectors:
Pa 0.2500 0.7500 0.0000  4 Pa 2.81, 4 Os 2.98
Pa 0.7500 0.2500 0.0000  4 Pa 2.81, 4 Os 2.98
V 0.2500 0.2500 0.3692  1 Os 2.27
V 0.7500 0.7500 0.6308  1 Os 2.27
Os 0.2500 0.2500 0.6879  1 V 2.27
Os 0.7500 0.7500 0.3121  1 V 2.27



# 2
VASP calculation (GGA-PBE) on HfZn2Sn2 after structural relaxation.

Values from the calculation:
Electronic total energy = -4.074 eV/atom
Formation energy from the elements = 0.028 eV/atom
Energy above the lowest structure with this stoichiometry = 0.0000 eV/atom

Lattice parameters (Å, degrees): 7.5218 7.5218 3.5944 90.00 90.00 90.00
Last column: nearest neighbours and their distance in Å.
Sites, in units of the cell vectors:
Hf 0.0000 0.0000 0.0000  4 Zn 2.99, 8 Sn 3.30
Hf 0.5000 0.5000 0.0000  4 Zn 2.99, 8 Sn 3.30
Zn 0.1220 0.3780 0.0000  1 Zn 2.60, 6 Sn 2.80-2.90
Zn 0.3780 0.8780 0.0000  1 Zn 2.60, 6 Sn 2.80-2.90
Zn 0.6220 0.1220 0.0000  1 Zn 2.60, 6 Sn 2.80-2.90
Zn 0.8780 0.6220 0.0000  1 Zn 2.60, 6 Sn 2.80-2.90
Sn 0.1763 0.6763 0.5000  6 Zn 2.80-2.90
Sn 0.3237 0.1763 0.5000  6 Zn 2.80-2.90
Sn 0.6763 0.8237 0.5000  6 Zn 2.80-2.90
Sn 0.8237 0.3237 0.5000  6 Zn 2.80-2.90



# 3
VASP calculation (GGA-PBE) on Tb3PmNdSc after structural relaxation.

Values from the calculation:
Electronic total energy = -4.918 eV/atom
Formation energy from the elements = 0.038 eV/atom

Lattice parameters (Å, degrees): 7.9356 7.9356 10.0263 90.00 90.00 143.13
Last column: nearest neighbours and their distance in Å.
Sites, in units of the cell vectors:
Tb 0.1688 0.8312 0.5007  5 Tb 3.48-3.55, 3 Sc 3.51-3.54, 2 Pm 3.54-3.60, 2 Nd 3.57
Tb 0.1688 0.8312 0.9993  5 Tb 3.48-3.55, 3 Sc 3.51-3.54, 2 Pm 3.54-3.60, 2 Nd 3.57
Tb 0.3297 0.6703 0.7500  6 Tb 3.48-3.55, 2 Sc 3.49, 2 Nd 3.59, 2 Pm 3.61
Tb 0.6703 0.3297 0.2500  6 Tb 3.48-3.55, 2 Sc 3.49, 2 Nd 3.59, 2 Pm 3.61
Tb 0.8312 0.1688 0.0007  5 Tb 3.48-3.55, 3 Sc 3.51-3.54, 2 Pm 3.54-3.60, 2 Nd 3.57
Tb 0.8312 0.1688 0.4993  5 Tb 3.48-3.55, 3 Sc 3.51-3.54, 2 Pm 3.54-3.60, 2 Nd 3.57
Pm 0.0021 0.9979 0.7500  6 Tb 3.54-3.61, 2 Sc 3.54, 4 Nd 3.55
Pm 0.9979 0.0021 0.2500  6 Tb 3.54-3.61, 2 Sc 3.54, 4 Nd 3.55
Nd 0.5000 0.5000 0.0000  4 Pm 3.55, 2 Sc 3.56, 6 Tb 3.57-3.59
Nd 0.5000 0.5000 0.5000  4 Pm 3.55, 2 Sc 3.56, 6 Tb 3.57-3.59
Sc 0.3318 0.6682 0.2500  8 Tb 3.49-3.54, 2 Pm 3.54, 2 Nd 3.56
Sc 0.6682 0.3318 0.7500  8 Tb 3.49-3.54, 2 Pm 3.54, 2 Nd 3.56



# 4
VASP calculation (GGA-PBE) on LiBeAu2 after structural relaxation.

Values from the calculation:
Electronic total energy = -3.216 eV/atom
Formation energy from the elements = -0.167 eV/atom

Lattice parameters (Å, degrees): 7.3550 7.3550 7.3550 25.18 25.18 25.18
Last column: nearest neighbours and their distance in Å.
Sites, in units of the cell vectors:
Li 0.0000 0.0000 0.0000  6 Au 2.77
Be 0.1663 0.1663 0.1663  6 Au 2.38
Au 0.5700 0.5700 0.5700  3 Be 2.38
Au 0.7629 0.7629 0.7629  3 Be 2.38



# 5
VASP calculation (GGA-PBE) on Tl5OF4 after structural relaxation.

Values from the calculation:
Electronic total energy = -3.893 eV/atom
E_form (uncorrected) = -1.465 eV per atom

Lattice parameters (Å, degrees): 7.5379 7.5379 7.5379 95.22 95.22 144.87
Last column: nearest neighbours and their distance in Å.
Sites, in units of the cell vectors:
Tl 0.0000 0.0000 0.0000  2 O 2.27
Tl 0.2241 0.5805 0.8046  3 F 2.53-2.61
Tl 0.4195 0.2241 0.6435  3 F 2.53-2.61
Tl 0.5805 0.7759 0.3565  3 F 2.53-2.61
Tl 0.7759 0.4195 0.1954  3 F 2.53-2.61
O 0.5000 0.5000 0.0000  2 Tl 2.27
F 0.1724 0.1903 0.3626  4 Tl 2.53-2.61
F 0.1903 0.8276 0.0179  4 Tl 2.53-2.61
F 0.8097 0.1724 0.9821  4 Tl 2.53-2.61
F 0.8276 0.8097 0.6374  4 Tl 2.53-2.61



# 6
VASP calculation (GGA-PBE) on ZrScNbP2 after structural relaxation.

Values from the calculation:
Electronic total energy = -6.187 eV/atom
Formation energy from the elements = 0.966 eV/atom

Lattice parameters (Å, degrees): 4.7554 4.7554 4.7662 90.00 90.00 90.00
Last column: nearest neighbours and their distance in Å.
Sites, in units of the cell vectors:
Zr 0.0000 0.0000 0.0000  2 Sc 2.38
Sc 0.0000 0.0000 0.5000  4 P 2.38, 2 Zr 2.38
Nb 0.5000 0.5000 0.0000  4 Zr 3.36, 8 P 3.37
P 0.0000 0.5000 0.5000  2 Sc 2.38
P 0.5000 0.0000 0.5000  2 Sc 2.38



# 7
VASP calculation (GGA-PBE) on SrSClO4 after structural relaxation.

Values from the calculation:
Electronic total energy = -5.772 eV/atom
E_form (uncorrected) = -1.845 eV per atom

Lattice parameters (Å, degrees): 6.6401 6.6401 6.9513 97.81 97.81 59.01
Last column: nearest neighbours and their distance in Å.
Sites, in units of the cell vectors:
Sr 0.2006 0.2006 0.3026  6 O 2.44-2.68
Sr 0.7994 0.7994 0.6974  6 O 2.44-2.68
S 0.1401 0.1401 0.7477  4 O 1.47-1.51
S 0.8599 0.8599 0.2523  4 O 1.47-1.51
Cl 0.4912 0.4912 0.8555  1 Cl 1.99
Cl 0.5088 0.5088 0.1445  1 Cl 1.99
O 0.0082 0.6419 0.3622  1 S 1.51
O 0.0128 0.0128 0.7471  1 S 1.47
O 0.2045 0.2045 0.9485  1 S 1.48
O 0.3581 0.9918 0.6378  1 S 1.51
O 0.6419 0.0082 0.3622  1 S 1.51
O 0.7955 0.7955 0.0515  1 S 1.48
O 0.9872 0.9872 0.2529  1 S 1.47
O 0.9918 0.3581 0.6378  1 S 1.51



# 8
VASP calculation (GGA-PBE) on La3TbPm3S8 after structural relaxation.

Values from the calculation:
Electronic total energy = -6.558 eV/atom
E_form (uncorrected) = -2.113 eV per atom

Lattice parameters (Å, degrees): 8.1985 8.1985 8.1985 59.33 59.33 59.33
Last column: nearest neighbours and their distance in Å.
Sites, in units of the cell vectors:
La 0.0000 0.5000 0.5000  6 S 2.91-2.92
La 0.5000 0.0000 0.5000  6 S 2.91-2.92
La 0.5000 0.5000 0.0000  6 S 2.91-2.92
Tb 0.5000 0.5000 0.5000  6 S 2.79
Pm 0.0000 0.0000 0.5000  6 S 2.85
Pm 0.0000 0.5000 0.0000  6 S 2.85
Pm 0.5000 0.0000 0.0000  6 S 2.85
S 0.2475 0.2475 0.2475  3 Pm 2.85, 3 La 2.91
S 0.2527 0.7421 0.7421  1 Tb 2.79, 2 Pm 2.85, 2 La 2.92
S 0.2579 0.2579 0.7473  1 Tb 2.79, 2 Pm 2.85, 2 La 2.92
S 0.2579 0.7473 0.2579  1 Tb 2.79, 2 Pm 2.85, 2 La 2.92
S 0.7421 0.2527 0.7421  1 Tb 2.79, 2 Pm 2.85, 2 La 2.92
S 0.7421 0.7421 0.2527  1 Tb 2.79, 2 Pm 2.85, 2 La 2.92
S 0.7473 0.2579 0.2579  1 Tb 2.79, 2 Pm 2.85, 2 La 2.92
S 0.7525 0.7525 0.7525  3 Pm 2.85, 3 La 2.91



# 9
VASP calculation (GGA-PBE) on LaZr2Au after structural relaxation.

Values from the calculation:
Electronic total energy = -6.357 eV/atom
Formation energy from the elements = -0.032 eV/atom
Energy above the lowest structure with this stoichiometry = 0.2526 eV/atom

Lattice parameters (Å, degrees): 6.0598 6.0598 3.3633 103.24 103.24 119.52
Last column: nearest neighbours and their distance in Å.
Sites, in units of the cell vectors:
La 0.0000 0.0000 0.0000  4 Au 3.05-3.36, 4 Zr 3.11, 2 La 3.36
Zr 0.0000 0.5000 0.5000  6 Zr 3.05-3.36, 2 La 3.11, 2 Au 3.11
Zr 0.5000 0.0000 0.5000  6 Zr 3.05-3.36, 2 La 3.11, 2 Au 3.11
Au 0.5000 0.5000 0.0000  4 La 3.05-3.36, 4 Zr 3.11, 2 Au 3.36



# 10
VASP calculation (GGA-PBE) on RbHSe after structural relaxation.

Values from the calculation:
Electronic total energy = -3.296 eV/atom

Lattice parameters (Å, degrees): 5.0873 5.0873 5.0873 110.08 91.70 128.82
Last column: nearest neighbours and their distance in Å.
Sites, in units of the cell vectors:
Rb 0.0000 0.0000 0.0000  2 H 3.02
H 0.1761 0.6761 0.5000  1 Se 1.49
Se 0.5147 0.0147 0.5000  1 H 1.49



# 11
VASP calculation (GGA-PBE) on LaNd2Sb after structural relaxation.

Values from the calculation:
Electronic total energy = -5.033 eV/atom
Energy above the lowest structure with this stoichiometry = 0.2030 eV/atom
E_form (uncorrected) = -0.387 eV per atom

Lattice parameters (Å, degrees): 10.0949 10.0949 10.0949 23.78 23.78 23.78
Last column: nearest neighbours and their distance in Å.
Sites, in units of the cell vectors:
La 0.0000 0.0000 0.0000  6 Nd 3.79-3.80, 6 La 4.16
Nd 0.5665 0.5665 0.5665  3 Sb 3.10
Nd 0.7663 0.7663 0.7663  3 Sb 3.10
Sb 0.1663 0.1663 0.1663  6 Nd 3.10



# 12
VASP calculation (GGA-PBE) on Dy2Tm3Ag2 after structural relaxation.

Values from the calculation:
Electronic total energy = -4.223 eV/atom
Formation energy from the elements = -0.177 eV/atom
Energy above the lowest structure with this stoichiometry = 0.0000 eV/atom

Lattice parameters (Å, degrees): 14.9070 14.9070 14.9070 166.28 166.28 19.44
Last column: nearest neighbours and their distance in Å.
Sites, in units of the cell vectors:
Dy 0.2081 0.2081 0.0000  8 Dy 3.52-3.56, 4 Tm 3.54
Dy 0.7919 0.7919 0.0000  8 Dy 3.52-3.56, 4 Tm 3.54
Tm 0.3767 0.3767 0.0000  4 Ag 3.10
Tm 0.5000 0.5000 0.0000  8 Ag 3.10
Tm 0.6233 0.6233 0.0000  4 Ag 3.10
Ag 0.0617 0.0617 0.0000  8 Tm 3.10
Ag 0.9383 0.9383 0.0000  8 Tm 3.10



Fermi-level density of states / states/eV/cell: 8.014 6.920 18.310 0.980 1.324 5.450 0.000 7.581 5.563 0.000 3.745 7.182
M_tot / Bohr magnetons per cell: 0.00 0.00 0.00 0.00 0.00 0.00 0.00 0.00 0.00 0.00 0.17 0.00